Entry 1:
Sr2Sb2Te | GGA-PBEsol | relaxed

Cell lengths 4.2818, 4.2818, 17.7019 Å; angles 90.00, 90.00, 90.00 degrees
Last column: nearest neighbours and their distance in Å.
Space group I4/mmm (No. 139)
Unique sites:
Sr: 0.0000 0.0000 0.1025 x4  4 Sb 3.38, 4 Te 3.53, 1 Sr 3.63
Sb: 0.0000 0.5000 0.2500 x4  4 Sb 3.03, 4 Sr 3.38
Te: 0.0000 0.0000 0.5000 x2  8 Sr 3.53

Properties
Formation energy (no corrections), eV per atom: -1.03
D(E_F), states/eV/cell: 3.134


Entry 2:
NiTeSe3 | GGA-PBEsol | relaxed

Cell lengths 4.6493, 4.6493, 4.6493 Å; angles 90.00, 90.00, 90.00 degrees
Last column: nearest neighbours and their distance in Å.
Space group Pm-3m (No. 221)
Unique sites:
Ni: 0.0000 0.0000 0.0000 x1  6 Se 2.32
Te: 0.5000 0.5000 0.5000 x1  12 Se 3.29
Se: 0.0000 0.0000 0.5000 x3  2 Ni 2.32

Properties
Formation energy (no corrections), eV per atom: 0.18
D(E_F), states/eV/cell: 4.092


Entry 3:
LaCdAg | GGA-PBEsol | relaxed

Cell lengths 3.6433, 3.6433, 10.8809 Å; angles 90.00, 90.00, 90.00 degrees
Last column: nearest neighbours and their distance in Å.
Space group I4mm (No. 107)
Unique sites:
La: 0.0000 0.0000 0.0000 x2  5 Ag 3.28-3.42, 5 Cd 3.32-3.34, 4 La 3.64
Cd: 0.0000 0.0000 0.3069 x2  4 Ag 2.89
Ag: 0.0000 0.0000 0.6860 x2  4 Cd 2.89

Properties
D(E_F), states/eV/cell: 4.332
E_tot, eV for the cell shown: -21.03


Entry 4:
Sr2YMn2O7 | GGA-PBEsol | relaxed

Cell lengths 5.4634, 5.3863, 10.0269 Å; angles 90.00, 105.37, 90.00 degrees
Last column: nearest neighbours and their distance in Å.
Space group P2_1/m (No. 11)
Unique sites:
Sr: 0.0736 0.2500 0.1307 x2  6 O 2.35-2.60
Sr: 0.2522 0.2500 0.4993 x2  9 O 2.54-2.80
Y: 0.4550 0.2500 0.8593 x2  6 O 2.24-2.42
Mn: 0.1493 0.7500 0.3033 x2  6 O 1.90-1.94
Mn: 0.3475 0.7500 0.6989 x2  6 O 1.91-2.05
O: 0.1145 0.7500 0.1093 x2  1 Mn 1.90
O: 0.1221 0.0107 0.7193 x4  2 Mn 1.91-1.93
O: 0.2120 0.7500 0.5011 x2  2 Mn 1.92
O: 0.4119 0.5037 0.3110 x4  2 Mn 1.92-1.94
O: 0.4805 0.7500 0.9102 x2  1 Mn 2.05, 1 Y 2.24

Properties
Formation energy (no corrections), eV per atom: -2.57
D(E_F), states/eV/cell: 2.528


Entry 5:
Tl2SiPb | GGA-PBEsol | relaxed

Cell lengths 4.4538, 4.4538, 10.3371 Å; angles 90.00, 90.00, 90.00 degrees
Last column: nearest neighbours and their distance in Å.
Space group I4/mmm (No. 139)
Unique sites:
Tl: 0.0000 0.5000 0.2500 x4  4 Tl 3.15, 4 Pb 3.41, 4 Si 3.41
Si: 0.0000 0.0000 0.0000 x2  4 Pb 3.15, 8 Tl 3.41
Pb: 0.0000 0.0000 0.5000 x2  4 Si 3.15, 8 Tl 3.41

Properties
Formation energy (no corrections), eV per atom: 0.31
D(E_F), states/eV/cell: 4.207


Entry 6:
MgAgW2Br | GGA-PBEsol | relaxed

Cell lengths 4.6011, 4.6011, 4.9300 Å; angles 90.00, 90.00, 90.00 degrees
Last column: nearest neighbours and their distance in Å.
Space group P4/mmm (No. 123)
Unique sites:
Mg: 0.0000 0.0000 0.0000 x1  4 Ag 3.25, 8 W 3.37
Ag: 0.5000 0.5000 0.0000 x1  2 Br 2.47
W: 0.0000 0.5000 0.5000 x2  2 Br 2.30
Br: 0.5000 0.5000 0.5000 x1  4 W 2.30, 2 Ag 2.47

Properties
Formation energy (no corrections), eV per atom: 1.88
D(E_F), states/eV/cell: 5.921


Entry 7:
Sr | GGA-PBEsol | relaxed

Cell lengths 4.1811, 4.1811, 30.8378 Å; angles 90.00, 90.00, 120.00 degrees
Last column: nearest neighbours and their distance in Å.
Space group R-3m (No. 166, hexagonal axes)
Unique sites:
Sr: 0.0000 0.0000 0.0000 x3  12 Sr 4.18-4.19
Sr: 0.0000 0.0000 0.2224 x6  12 Sr 4.18-4.20

Properties
D(E_F), states/eV/cell: 9.395
E_tot, eV for the cell shown: -16.53


Entry 8:
SrAl2Cu | GGA-PBEsol | relaxed

Cell lengths 5.7060, 10.1891, 2.9414 Å; angles 90.00, 109.02, 90.00 degrees
Last column: nearest neighbours and their distance in Å.
Space group C2/m (No. 12)
Unique sites:
Sr: 0.0000 0.0000 0.0000 x2  2 Cu 2.85, 2 Sr 2.94, 4 Al 3.05
Al: 0.2500 0.2500 0.5000 x4  4 Al 2.85-2.94, 2 Cu 3.05, 2 Sr 3.05
Cu: 0.0000 0.5000 0.0000 x2  2 Sr 2.85, 2 Cu 2.94, 4 Al 3.05

Properties
D(E_F), states/eV/cell: 4.001
E_tot, eV for the cell shown: -26.14


Entry 9:
CaZnIN2 | GGA-PBEsol | relaxed

Cell lengths 4.5746, 4.5746, 6.2592 Å; angles 90.00, 90.00, 90.00 degrees
Last column: nearest neighbours and their distance in Å.
Space group P4/mmm (No. 123)
Unique sites:
Ca: 0.0000 0.0000 0.0000 x1  4 N 2.29
Zn: 0.5000 0.5000 0.5000 x1  4 I 3.23
I: 0.0000 0.0000 0.5000 x1  2 Ca 3.13, 4 Zn 3.23
N: 0.0000 0.5000 0.0000 x2  2 Ca 2.29

Properties
Formation energy (no corrections), eV per atom: 1.20
D(E_F), states/eV/cell: 3.083


Entry 10:
CsFeSi2 | GGA-PBEsol | relaxed

Cell lengths 6.9170, 6.9170, 6.9170 Å; angles 90.00, 90.00, 90.00 degrees
Last column: nearest neighbours and their distance in Å.
Space group Fm-3m (No. 225)
Unique sites:
Cs: 0.0000 0.0000 0.0000 x4  8 Si 3.00
Fe: 0.0000 0.0000 0.5000 x4  8 Si 3.00
Si: 0.2500 0.2500 0.2500 x8  4 Fe 3.00, 4 Cs 3.00

Properties
Formation energy (no corrections), eV per atom: 1.25
D(E_F), states/eV/cell: 10.621


Entry 11:
NbFePb2O6 | GGA-PBEsol | relaxed

Cell lengths 7.8110, 7.8110, 7.8110 Å; angles 90.00, 90.00, 90.00 degrees
Last column: nearest neighbours and their distance in Å.
Space group Fm-3m (No. 225)
Unique sites:
Nb: 0.0000 0.0000 0.0000 x4  6 O 2.01
Fe: 0.0000 0.0000 0.5000 x4  6 O 1.90
Pb: 0.2500 0.2500 0.2500 x8  12 O 2.76
O: 0.0000 0.0000 0.2570 x24  1 Fe 1.90, 1 Nb 2.01

Properties
Formation energy (no corrections), eV per atom: -1.63
D(E_F), states/eV/cell: 16.381


Entry 12:
Ba2TaI | GGA-PBEsol | relaxed

Cell lengths 8.3223, 8.3223, 8.3223 Å; angles 90.00, 90.00, 90.00 degrees
Last column: nearest neighbours and their distance in Å.
Space group Fm-3m (No. 225)
Unique sites:
Ba: 0.2500 0.2500 0.2500 x8  4 I 3.60, 4 Ta 3.60
Ta: 0.0000 0.0000 0.0000 x4  8 Ba 3.60
I: 0.0000 0.0000 0.5000 x4  8 Ba 3.60

Properties
Formation energy (no corrections), eV per atom: 0.54
D(E_F), states/eV/cell: 15.617